--- i ---
Here is an optimized crystal structure of ZnCdGe3 from Alexandria. Energies are from PBE.

abc: 4.895 4.895 4.895
angles: 90.00 90.00 90.00
Fractional coordinates of all 5 atoms:
Zn 0.000 0.000 0.000
Cd 0.500 0.500 0.500
Ge 0.000 0.000 0.500
Ge 0.000 0.500 0.000
Ge 0.500 0.000 0.000

Results
The magnetization comes out at 0.00 μB/cell. For the density, the calculation gives 5.60 Mg/m³. Its volume is 23.5 Å³ per atom.



--- ii ---
Here is an optimized crystal structure of ZnCdGe3 from Alexandria. Energies are from PBE.

abc: 5.184 5.184 5.184
angles: 90.00 90.00 90.00
Fractional coordinates of all 5 atoms:
Zn 0.000 0.000 0.000
Cd 0.500 0.500 0.500
Ge 0.000 0.500 0.500
Ge 0.500 0.000 0.500
Ge 0.500 0.500 0.000

Results
The magnetization comes out at 0.00 μB/cell. For the density, the calculation gives 4.72 Mg/m³. Its volume is 27.9 Å³ per atom.



Relative stability in eV/atom, measured from the most stable structure: i 0.000; ii 0.373



--- i ---
Here is an optimized crystal structure of Zn2CdGe2 from Alexandria. Energies are from PBE.

abc: 8.301 8.301 2.784
angles: 90.00 90.00 90.00
Fractional coordinates of all 10 atoms:
Zn 0.153 0.347 0.000
Zn 0.347 0.847 0.000
Zn 0.653 0.153 0.000
Zn 0.847 0.653 0.000
Cd 0.000 0.000 0.500
Cd 0.500 0.500 0.500
Ge 0.144 0.644 0.500
Ge 0.356 0.144 0.500
Ge 0.644 0.856 0.500
Ge 0.856 0.356 0.500

Results
The magnetization comes out at 0.00 μB/cell. For the density, the calculation gives 6.73 Mg/m³. Its volume is 19.2 Å³ per atom.



--- ii ---
Here is an optimized crystal structure of Zn2CdGe2 from Alexandria. Energies are from PBE.

abc: 6.279 6.279 6.279
angles: 140.54 140.54 57.03
Fractional coordinates of all 5 atoms:
Zn 0.250 0.750 0.500
Zn 0.750 0.250 0.500
Cd 0.000 0.000 0.000
Ge 0.387 0.387 0.000
Ge 0.613 0.613 0.000

Results
The magnetization comes out at 0.00 μB/cell. For the density, the calculation gives 6.51 Mg/m³. Its volume is 19.8 Å³ per atom.



--- iii ---
Here is an optimized crystal structure of Zn2CdGe2 from Alexandria. Energies are from PBE.

abc: 7.677 7.677 3.203
angles: 90.00 90.00 90.00
Fractional coordinates of all 10 atoms:
Zn 0.121 0.379 0.000
Zn 0.379 0.879 0.000
Zn 0.621 0.121 0.000
Zn 0.879 0.621 0.000
Cd 0.000 0.000 0.000
Cd 0.500 0.500 0.000
Ge 0.181 0.681 0.500
Ge 0.319 0.181 0.500
Ge 0.681 0.819 0.500
Ge 0.819 0.319 0.500

Results
The magnetization comes out at 0.00 μB/cell. For the density, the calculation gives 6.83 Mg/m³. Its volume is 18.9 Å³ per atom.



Relative stability in eV/atom, measured from the most stable structure: i 0.042; ii 0.000; iii 0.053



--- i ---
Here is an optimized crystal structure of ZnCd2Ge2 from Alexandria. Energies are from PBE.

abc: 6.812 6.812 4.569
angles: 90.00 90.00 90.00
Fractional coordinates of all 10 atoms:
Zn 0.000 0.000 0.000
Zn 0.500 0.500 0.000
Cd 0.180 0.320 0.500
Cd 0.320 0.820 0.500
Cd 0.680 0.180 0.500
Cd 0.820 0.680 0.500
Ge 0.135 0.635 0.000
Ge 0.365 0.135 0.000
Ge 0.635 0.865 0.000
Ge 0.865 0.365 0.000

Results
The magnetization comes out at 0.00 μB/cell. For the density, the calculation gives 6.82 Mg/m³. Its volume is 21.2 Å³ per atom.



--- ii ---
Here is an optimized crystal structure of ZnCd2Ge2 from Alexandria. Energies are from PBE.

abc: 8.131 8.131 8.131
angles: 153.16 153.16 38.33
Fractional coordinates of all 5 atoms:
Zn 0.000 0.000 0.000
Cd 0.405 0.405 0.000
Cd 0.595 0.595 0.000
Ge 0.250 0.750 0.500
Ge 0.750 0.250 0.500

Results
The magnetization comes out at 0.00 μB/cell. For the density, the calculation gives 6.61 Mg/m³. Its volume is 21.9 Å³ per atom.



--- iii ---
Here is an optimized crystal structure of ZnCd2Ge2 from Alexandria. Energies are from PBE.

abc: 6.576 6.576 6.576
angles: 140.25 140.25 57.48
Fractional coordinates of all 5 atoms:
Zn 0.000 0.000 0.000
Cd 0.250 0.750 0.500
Cd 0.750 0.250 0.500
Ge 0.394 0.394 0.000
Ge 0.606 0.606 0.000

Results
The magnetization comes out at 0.00 μB/cell. For the density, the calculation gives 6.27 Mg/m³. Its volume is 23.1 Å³ per atom.



--- iv ---
Here is an optimized crystal structure of ZnCd2Ge2 from Alexandria. Energies are from PBE.

abc: 8.630 8.630 2.944
angles: 90.00 90.00 90.00
Fractional coordinates of all 10 atoms:
Zn 0.000 0.000 0.000
Zn 0.500 0.500 0.000
Cd 0.154 0.346 0.000
Cd 0.346 0.846 0.000
Cd 0.654 0.154 0.000
Cd 0.846 0.654 0.000
Ge 0.143 0.643 0.500
Ge 0.357 0.143 0.500
Ge 0.643 0.857 0.500
Ge 0.857 0.357 0.500

Results
The magnetization comes out at 0.00 μB/cell. For the density, the calculation gives 6.59 Mg/m³. Its volume is 21.9 Å³ per atom.



Relative stability in eV/atom, measured from the most stable structure: i 0.000; ii 0.057; iii 0.110; iv 0.098